1.
An optimized crystal structure of TlRhI2. Source: Alexandria, functional PBE-GGA.

Spin magnetization (μB per cell): 2.0
Space-group type: No. 225
Uncorrected formation energy (kcal/mol of atoms): 8.66

Structure (POSCAR):
```
TlRhI2
1.0
0.000 3.889 3.889
3.889 0.000 3.889
3.889 3.889 0.000
I Rh Tl
2 1 1
Cartesian
1.945 1.945 1.945 I
5.834 5.834 5.834 I
0.000 0.000 0.000 Rh
3.889 3.889 3.889 Tl
```



2.
An optimized crystal structure of MnZn2CCl. Source: Alexandria, functional PBE-GGA.

Spin magnetization (μB per cell): 5.8
Space-group type: No. 123
Uncorrected formation energy (kcal/mol of atoms): 35.24

Structure (POSCAR):
```
MnZn2CCl
1.0
5.045 0.000 0.000
0.000 4.491 0.000
0.000 0.000 5.045
Zn Cl C Mn
2 1 1 1
Cartesian
2.522 0.000 0.000 Zn
0.000 0.000 2.522 Zn
0.000 2.245 0.000 Cl
2.522 2.245 2.522 C
0.000 0.000 0.000 Mn
```



3.
An optimized crystal structure of BaBiSN2. Source: Alexandria, functional PBE-GGA.

Spin magnetization (μB per cell): 1.5
Space-group type: No. 123
Uncorrected formation energy (kcal/mol of atoms): 8.89

Structure (POSCAR):
```
BaBiSN2
1.0
-0.180 -3.544 2.747
-1.366 -2.575 -3.412
5.192 -1.183 -1.186
N Ba Bi S
2 1 1 1
Cartesian
-0.090 -1.772 1.374 N
-0.683 -1.288 -1.706 N
1.823 -3.651 -0.925 Ba
0.000 0.000 0.000 Bi
2.596 -0.592 -0.593 S
```



4.
An optimized crystal structure of Er2Zn5Pt3. Source: Alexandria, functional PBE-GGA.

Spin magnetization (μB per cell): 0.0
Space-group type: No. 36
ΔE_f (meV/atom): -725

Structure (POSCAR):
```
Er2Zn5Pt3
1.0
4.189 0.000 -0.714
0.000 6.911 0.000
-0.025 0.000 12.507
Er Zn Pt
4 10 6
Cartesian
0.736 4.857 4.321 Er
1.977 5.404 11.607 Er
3.428 1.402 7.473 Er
2.187 1.948 0.186 Er
1.215 3.435 7.134 Zn
2.940 2.619 4.603 Zn
3.941 0.748 10.483 Zn
2.949 6.890 4.660 Zn
0.223 4.204 1.311 Zn
2.524 6.360 2.161 Zn
1.225 6.075 7.191 Zn
1.641 2.905 9.632 Zn
3.636 5.230 8.690 Zn
0.529 1.774 3.103 Zn
2.553 3.710 2.334 Pt
0.194 6.891 1.139 Pt
3.195 4.734 6.101 Pt
3.970 3.435 10.655 Pt
0.970 1.278 5.693 Pt
1.611 0.254 9.460 Pt
```



5.
An optimized crystal structure of ZrTi2Zn2. Source: Alexandria, functional PBE-GGA.

Spin magnetization (μB per cell): 2.7
Space-group type: No. 127
ΔE_f (meV/atom): -47

Structure (POSCAR):
```
ZrTi2Zn2
1.0
7.844 0.000 0.000
0.000 7.844 0.000
0.000 0.000 2.815
Ti Zn Zr
4 4 2
Cartesian
0.910 3.012 0.000 Ti
3.012 6.934 0.000 Ti
4.832 0.910 0.000 Ti
6.934 4.832 0.000 Ti
1.400 5.322 1.407 Zn
5.322 6.444 1.407 Zn
6.444 2.522 1.407 Zn
2.522 1.400 1.407 Zn
0.000 0.000 0.000 Zr
3.922 3.922 0.000 Zr
```



6.
An optimized crystal structure of CaPt2Cl. Source: Alexandria, functional PBE-GGA.

Spin magnetization (μB per cell): 0.0
Space-group type: No. 47
Uncorrected formation energy (kcal/mol of atoms): -8.06

Structure (POSCAR):
```
CaPt2Cl
1.0
3.061 0.000 0.000
0.000 4.782 0.000
0.000 0.000 5.320
Pt Cl Ca
2 1 1
Cartesian
0.000 0.000 2.639 Pt
0.000 0.000 0.021 Pt
1.530 2.391 3.990 Cl
1.530 2.391 1.330 Ca
```



7.
An optimized crystal structure of Tc2NiBr. Source: Alexandria, functional PBE-GGA.

Spin magnetization (μB per cell): 0.0
Space-group type: No. 44
Uncorrected formation energy (kcal/mol of atoms): 17.59

Structure (POSCAR):
```
Tc2NiBr
1.0
-2.952 4.256 -0.024
-3.931 0.255 3.364
5.118 -0.440 -0.666
Br Tc Ni
1 2 1
Cartesian
-3.461 2.268 1.679 Br
-0.568 2.989 0.455 Tc
-6.856 4.493 3.327 Tc
-1.206 1.086 2.222 Ni
```



8.
An optimized crystal structure of Rb3P2H8. Source: Alexandria, functional PBE-GGA.

E_tot (eV/atom): -2.909
Spin magnetization (μB per cell): 0.0
Space-group type: No. 166

Structure (POSCAR):
```
Rb3P2H8
1.0
-3.136 4.897 -2.491
-4.891 -1.020 -3.880
-7.332 1.295 3.745
P H Rb
2 8 3
Cartesian
-8.593 2.586 -0.162 P
-6.766 2.585 -2.464 P
-8.877 4.289 -0.251 H
-5.871 2.585 -3.593 H
-7.396 1.976 0.925 H
-9.489 2.587 0.967 H
-6.482 0.883 -2.375 H
-7.963 3.196 -3.552 H
-5.653 3.677 -1.719 H
-9.706 1.494 -0.907 H
-4.455 1.293 0.119 Rb
0.000 0.000 0.000 Rb
-10.904 3.878 -2.745 Rb
```



9.
An optimized crystal structure of AgPd2F8. Source: Alexandria, functional PBE-GGA.

Spin magnetization (μB per cell): 2.4
Space-group type: No. 164
Uncorrected formation energy (kcal/mol of atoms): -22.91

Structure (POSCAR):
```
AgPd2F8
1.0
-0.725 2.510 -3.193
0.324 -5.335 -4.267
-5.985 1.801 2.775
F Ag Pd
8 1 2
Cartesian
-1.959 -2.333 -2.712 F
-4.306 -1.379 -4.083 F
-4.427 1.310 -1.973 F
-4.977 -1.452 -1.366 F
-1.410 0.428 -3.320 F
-1.245 -2.300 -5.502 F
-5.142 1.277 0.817 F
-2.081 0.356 -0.603 F
-0.363 1.255 -1.597 Ag
-2.323 -1.075 -4.312 Pd
-4.064 0.052 -0.373 Pd
```



10.
An optimized crystal structure of NiPbCl6. Source: Alexandria, functional PBE-GGA.

Spin magnetization (μB per cell): 0.0
Space-group type: No. 12
Uncorrected formation energy (kcal/mol of atoms): -13.56

Structure (POSCAR):
```
NiPbCl6
1.0
-3.193 -5.420 -0.895
4.365 -0.670 -5.045
1.647 -0.963 6.428
Cl Pb Ni
6 1 1
Cartesian
3.702 -2.594 0.811 Cl
1.593 -4.988 1.905 Cl
-0.883 -4.459 -0.323 Cl
2.335 -4.908 -1.227 Cl
1.226 -2.065 -1.417 Cl
0.484 -2.145 1.715 Cl
0.000 0.000 0.000 Pb
1.410 -3.527 0.244 Ni
```



11.
An optimized crystal structure of ZnPtRh2Br. Source: Alexandria, functional PBE-GGA.

Spin magnetization (μB per cell): 2.9
Space-group type: No. 123
Uncorrected formation energy (kcal/mol of atoms): 30.65

Structure (POSCAR):
```
ZnPtRh2Br
1.0
4.662 0.000 0.000
0.000 4.671 0.000
0.000 0.000 4.662
Rh Zn Br Pt
2 1 1 1
Cartesian
0.000 0.000 2.331 Rh
2.331 0.000 0.000 Rh
0.000 0.000 0.000 Zn
0.000 2.335 0.000 Br
2.331 2.335 2.331 Pt
```



12.
An optimized crystal structure of Li2CuGe. Source: Alexandria, functional PBE-GGA.

Spin magnetization (μB per cell): 0.0
Space-group type: No. 122
ΔE_f (meV/atom): 35

Structure (POSCAR):
```
Li2CuGe
1.0
7.173 0.000 0.000
0.000 7.173 0.000
3.587 3.587 2.426
Ge Li Cu
2 4 2
Cartesian
0.000 0.000 0.000 Ge
7.173 3.587 1.213 Ge
8.967 8.841 1.820 Li
1.919 5.380 0.607 Li
5.255 1.793 0.607 Li
5.380 5.505 1.820 Li
3.587 7.173 1.213 Cu
3.587 3.587 0.000 Cu
```